IrOs5W2 after structural relaxation, computed with GGA-PBE.

Lattice parameters (Å, degrees): 4.4090 5.5513 9.6091 90.00 90.00 90.00
With the nearest neighbours (Å) after each atom.
Space group Amm2 (No. 38)
Inequivalent atoms, fractional coordinates:
Ir: 0.0000 0.0000 0.0000 (multiplicity 2)  8 Os 2.73-2.79, 4 W 2.73-2.78
Os: 0.0000 0.2475 0.2527 (multiplicity 4)  6 Os 2.71-2.80, 4 W 2.72-2.81, 2 Ir 2.76-2.79
Os: 0.5000 0.0000 0.6674 (multiplicity 2)  4 W 2.73-2.78, 8 Os 2.74-2.78
Os: 0.5000 0.2496 0.4162 (multiplicity 4)  6 Os 2.71-2.78, 4 W 2.72-2.79, 2 Ir 2.73
W: 0.0000 0.0000 0.4993 (multiplicity 2)  10 Os 2.72-2.81, 2 Ir 2.78
W: 0.5000 0.0000 0.1682 (multiplicity 2)  10 Os 2.72-2.79, 2 Ir 2.73

Computed properties:
**ΔH_f (0 K)**: -1.0 eV per formula unit
**Energy**: -11.49 eV per atom
**Magnetic moment**: 0.0 μB per formula unit